1.
Density functional theory data (PBE) for crystalline Rb2NaIrO6 at its relaxed geometry.

Unit cell a=8.5965 b=8.5965 c=8.5965 alpha=90.00 beta=90.00 gamma=90.00
Last column: nearest neighbours and their distance in Å.
Space group Fm-3m (No. 225)
Unique sites:
Rb (0.2500, 0.2500, 0.2500) x8  12 O 3.05
Na (0.0000, 0.0000, 0.0000) x4  6 O 2.43
Ir (0.0000, 0.0000, 0.5000) x4  6 O 1.87
O (0.0000, 0.0000, 0.2824) x24  1 Ir 1.87

Results
The formation energy without anion corrections comes out at -1.01 eV/atom. The energy comes out at -207.9 eV per cell.


2.
Density functional theory data (PBE) for crystalline Sc6GaSi2 at its relaxed geometry.

Unit cell a=8.7174 b=8.8586 c=9.5675 alpha=90.00 beta=90.00 gamma=90.00
Last column: nearest neighbours and their distance in Å.
Space group Immm (No. 71)
Unique sites:
Sc (0.0000, 0.2061, 0.1761) x8  3 Si 2.65-2.80
Sc (0.1813, 0.2265, 0.5000) x8  3 Si 2.81-2.84, 1 Ga 2.89
Sc (0.1969, 0.5000, 0.2515) x8  2 Si 2.74-2.91, 2 Ga 2.93-2.96
Ga (0.0000, 0.5000, 0.0000) x2  8 Sc 2.96-3.10
Ga (0.0000, 0.5000, 0.5000) x2  8 Sc 2.89-2.93, 2 Si 3.07
Si (0.0000, 0.0000, 0.3772) x4  1 Si 2.35
Si (0.1477, 0.0000, 0.0000) x4  1 Si 2.58, 8 Sc 2.74-2.84

Results
The formation energy without anion corrections comes out at -0.59 eV/atom. The energy comes out at -228.8 eV per cell.


3.
Density functional theory data (PBE) for crystalline Hf3Ti6Sb at its relaxed geometry.

Unit cell a=11.5573 b=11.5573 c=5.1941 alpha=90.00 beta=90.00 gamma=120.00
Last column: nearest neighbours and their distance in Å.
Space group R3m (No. 160, hexagonal axes)
Unique sites:
Hf (0.0111, 0.5055, 0.0000) x9  2 Ti 2.71-2.73
Ti (0.0766, 0.1532, 0.8255) x9  3 Ti 2.49-2.66
Ti (0.2010, 0.4020, 0.8313) x9  1 Ti 2.49, 2 Hf 2.71-2.73
Sb (0.0000, 0.0000, 0.3335) x3  9 Ti 2.79-3.05

Results
The formation energy without anion corrections comes out at 0.28 eV/atom. The energy comes out at -235.8 eV per cell.


4.
Density functional theory data (PBE) for crystalline PaAsO6 at its relaxed geometry.

Unit cell a=5.4936 b=6.7036 c=4.8583 alpha=90.00 beta=97.86 gamma=90.00
Last column: nearest neighbours and their distance in Å.
Space group C2/m (No. 12)
Unique sites:
Pa (0.0000, 0.0000, 0.0000) x2  2 O 2.11
As (0.0000, 0.5000, 0.5000) x2  6 O 1.84-1.87
O (0.1515, 0.3277, 0.7640) x8  1 As 1.84
O (0.2168, 0.0000, 0.6747) x4  1 As 1.87

Results
The formation energy without anion corrections comes out at -1.68 eV/atom. The distance to the lowest polymorph of the same formula comes out at 11.4 kJ/mol of atoms. The energy comes out at -114.6 eV per cell.


5.
Density functional theory data (PBE) for crystalline Bi2AsCl4 at its relaxed geometry.

Unit cell a=4.9428 b=4.9428 c=18.5138 alpha=90.00 beta=90.00 gamma=90.00
Last column: nearest neighbours and their distance in Å.
Space group I4/mmm (No. 139)
Unique sites:
Bi (0.0000, 0.0000, 0.1543) x4  1 Cl 2.48
As (0.0000, 0.0000, 0.5000) x2  4 Cl 2.47
Cl (0.0000, 0.0000, 0.2880) x4  1 Bi 2.48
Cl (0.0000, 0.5000, 0.0000) x4  2 As 2.47

Results
The formation energy without anion corrections comes out at 0.00 eV/atom. The energy comes out at -39.6 eV per cell.


6.
Density functional theory data (PBE) for crystalline RbSn3Pb9 at its relaxed geometry.

Unit cell a=6.4716 b=16.3009 c=8.7975 alpha=90.00 beta=111.53 gamma=90.00
Last column: nearest neighbours and their distance in Å.
Space group C2/m (No. 12)
Unique sites:
Rb (0.0000, 0.0000, 0.0000) x2  14 Pb 4.08-4.40, 6 Sn 4.38-4.40
Sn (0.0000, 0.0000, 0.5000) x2  10 Pb 3.24-3.53
Sn (0.2500, 0.2500, 0.0000) x4  2 Sn 3.24, 8 Pb 3.29-3.51
Pb (0.0000, 0.5000, 0.5000) x2  2 Sn 3.24, 8 Pb 3.36-3.54
Pb (0.1141, 0.3898, 0.2173) x8  3 Sn 3.29-3.33, 6 Pb 3.36-3.63
Pb (0.1741, 0.1779, 0.3513) x8  6 Pb 3.38-3.70, 3 Sn 3.50-3.53

Results
The energy comes out at -93.4 eV per cell.


7.
Density functional theory data (PBE) for crystalline Ba2PtS at its relaxed geometry.

Unit cell a=4.4692 b=4.4692 c=23.4314 alpha=90.00 beta=90.00 gamma=120.00
Last column: nearest neighbours and their distance in Å.
Space group R3m (No. 160, hexagonal axes)
Unique sites:
Ba (0.0000, 0.0000, 0.0000) x3  3 Pt 3.23, 3 S 3.24
Ba (0.0000, 0.0000, 0.1671) x3  3 Pt 3.23, 3 S 3.24
Pt (0.0000, 0.0000, 0.5835) x3  6 Ba 3.23
S (0.0000, 0.0000, 0.7502) x3  6 Ba 3.24

Results
The formation energy without anion corrections comes out at -1.28 eV/atom. The energy comes out at -57.4 eV per cell.


8.
Density functional theory data (PBE) for crystalline YTiH3 at its relaxed geometry.

Unit cell a=3.7255 b=3.7255 c=3.7255 alpha=90.00 beta=90.00 gamma=90.00
Last column: nearest neighbours and their distance in Å.
Space group Pm-3m (No. 221)
Unique sites:
Y (0.0000, 0.0000, 0.0000) x1  12 H 2.63
Ti (0.5000, 0.5000, 0.5000) x1  6 H 1.86
H (0.0000, 0.5000, 0.5000) x3  2 Ti 1.86

Results
The distance to the lowest polymorph of the same formula comes out at 0.0 kJ/mol of atoms. The energy comes out at -26.3 eV per cell.


Number 1: density 5.04 g cm⁻³. Number 2: density 3.56 g cm⁻³. Number 3: density 7.83 g cm⁻³. Number 4: density 7.53 g cm⁻³. Number 5: density 4.66 g cm⁻³. Number 6: density 8.87 g cm⁻³. Number 7: density 6.17 g cm⁻³. Number 8: density 4.49 g cm⁻³.